# 1
A plane-wave DFT calculation with PBE-GGA was carried out for an optimized crystal structure of AcDy2ReN4.

Output
ρ: 10.39 Mg/m³

a b c (Å): 3.532 12.019 11.965
angles (deg): 90.00 90.00 90.00
Space group Cmcm (No. 63)
One atom of each set of equivalent atoms:
Ac: 0.000 0.081 0.250
Dy: 0.000 0.369 0.042
Re: 0.000 0.176 0.750
N: 0.000 0.000 0.000
N: 0.000 0.260 0.614
N: 0.000 0.410 0.250



# 2
A plane-wave DFT calculation with PBE-GGA was carried out for an optimized crystal structure of Ac2DySe2N2.

Output
ρ: 8.29 Mg/m³

a b c (Å): 4.484 4.484 15.983
angles (deg): 90.00 90.00 90.00
Space group I4/mmm (No. 139)
One atom of each set of equivalent atoms:
Ac: 0.000 0.000 0.117
Dy: 0.000 0.000 0.500
Se: 0.000 0.000 0.320
N: 0.000 0.500 0.000



# 3
A plane-wave DFT calculation with PBE-GGA was carried out for an optimized crystal structure of AcDy2SiN4.

Output
ρ: 8.91 Mg/m³

a b c (Å): 3.469 11.802 11.577
angles (deg): 90.00 90.00 90.00
Space group Cmcm (No. 63)
One atom of each set of equivalent atoms:
Ac: 0.000 0.087 0.250
Dy: 0.000 0.368 0.042
Si: 0.000 0.179 0.750
N: 0.000 0.000 0.000
N: 0.000 0.264 0.627
N: 0.000 0.399 0.250



# 4
A plane-wave DFT calculation with PBE-GGA was carried out for an optimized crystal structure of AcDy2SnN4.

Output
ρ: 9.04 Mg/m³

a b c (Å): 3.672 12.052 12.061
angles (deg): 90.00 90.00 90.00
Space group Cmcm (No. 63)
One atom of each set of equivalent atoms:
Ac: 0.000 0.105 0.250
Dy: 0.000 0.371 0.038
Sn: 0.000 0.157 0.750
N: 0.000 0.000 0.000
N: 0.000 0.269 0.618
N: 0.000 0.433 0.250



# 5
A plane-wave DFT calculation with PBE-GGA was carried out for an optimized crystal structure of AcDy2TcN4.

Output
ρ: 9.45 Mg/m³

a b c (Å): 3.535 11.966 11.736
angles (deg): 90.00 90.00 90.00
Space group Cmcm (No. 63)
One atom of each set of equivalent atoms:
Ac: 0.000 0.109 0.250
Dy: 0.000 0.368 0.041
Tc: 0.000 0.153 0.750
N: 0.000 0.000 0.000
N: 0.000 0.262 0.622
N: 0.000 0.425 0.250



# 6
A plane-wave DFT calculation with PBE-GGA was carried out for an optimized crystal structure of Ac2DyTe2N2.

Output
ρ: 8.42 Mg/m³

a b c (Å): 4.557 4.557 17.090
angles (deg): 90.00 90.00 90.00
Space group I4/mmm (No. 139)
One atom of each set of equivalent atoms:
Ac: 0.000 0.000 0.105
Dy: 0.000 0.000 0.500
Te: 0.000 0.000 0.318
N: 0.000 0.500 0.000



# 7
A plane-wave DFT calculation with PBE-GGA was carried out for an optimized crystal structure of AcDyThN3.

Output
ρ: 8.60 Mg/m³

a b c (Å): 7.240 3.552 9.975
angles (deg): 90.00 92.68 90.00
Space group P2_1/m (No. 11)
One atom of each set of equivalent atoms:
Ac: 0.124 0.250 0.294
Dy: 0.186 0.250 0.952
Th: 0.380 0.750 0.634
N: 0.127 0.750 0.090
N: 0.188 0.250 0.710
N: 0.377 0.750 0.401



# 8
A plane-wave DFT calculation with PBE-GGA was carried out for an optimized crystal structure of Ac2DyUN4.

Output
ρ: 11.03 Mg/m³

a b c (Å): 6.146 3.614 6.501
angles (deg): 90.00 108.32 90.00
Space group P2/m (No. 10)
One atom of each set of equivalent atoms:
Ac: 0.000 0.000 0.000
Ac: 0.500 0.500 0.000
Dy: 0.000 0.500 0.500
U: 0.500 0.000 0.500
N: 0.261 0.000 0.695
N: 0.287 0.500 0.310



# 9
A plane-wave DFT calculation with PBE-GGA was carried out for an optimized crystal structure of Ac3Dy2UN6.

Output
ρ: 10.66 Mg/m³

a b c (Å): 6.238 10.774 6.495
angles (deg): 90.00 108.61 90.00
Space group C2/m (No. 12)
One atom of each set of equivalent atoms:
Ac: 0.000 0.000 0.000
Ac: 0.000 0.331 0.000
Dy: 0.000 0.166 0.500
U: 0.000 0.500 0.500
N: 0.221 0.347 0.701
N: 0.240 0.500 0.292



# 10
A plane-wave DFT calculation with PBE-GGA was carried out for an optimized crystal structure of AcDy2VN4.

Output
ρ: 8.91 Mg/m³

a b c (Å): 3.471 12.028 11.772
angles (deg): 90.00 90.00 90.00
Space group Cmcm (No. 63)
One atom of each set of equivalent atoms:
Ac: 0.000 0.084 0.250
Dy: 0.000 0.370 0.043
V: 0.000 0.176 0.750
N: 0.000 0.000 0.000
N: 0.000 0.261 0.623
N: 0.000 0.412 0.250



# 11
A plane-wave DFT calculation with PBE-GGA was carried out for an optimized crystal structure of AcDyWN4.

Output
ρ: 10.27 Mg/m³

a b c (Å): 5.619 12.800 5.658
angles (deg): 90.00 90.00 90.00
Space group Cmcm (No. 63)
One atom of each set of equivalent atoms:
Ac: 0.000 0.105 0.250
Dy: 0.000 0.398 0.250
W: 0.000 0.245 0.750
N: 0.000 0.092 0.750
N: 0.000 0.423 0.750
N: 0.250 0.250 0.000



# 12
A plane-wave DFT calculation with PBE-GGA was carried out for an optimized crystal structure of AcDyW2N6.

Output
ρ: 8.66 Mg/m³

a b c (Å): 10.819 10.063 6.194
angles (deg): 90.00 106.82 90.00
Space group C2/c (No. 15)
One atom of each set of equivalent atoms:
Ac: 0.000 0.190 0.250
Dy: 0.000 0.412 0.750
W: 0.213 0.090 0.775
N: 0.108 0.400 0.138
N: 0.140 0.249 0.677
N: 0.147 0.019 0.013



# 13
A plane-wave DFT calculation with PBE-GGA was carried out for an optimized crystal structure of AcDyZrN3.

Output
ρ: 7.36 Mg/m³

a b c (Å): 6.848 3.493 9.905
angles (deg): 90.00 95.12 90.00
Space group P2_1/m (No. 11)
One atom of each set of equivalent atoms:
Ac: 0.175 0.250 0.221
Dy: 0.356 0.750 0.882
Zr: 0.168 0.250 0.580
N: 0.145 0.250 0.790
N: 0.153 0.750 0.455
N: 0.381 0.750 0.110



# 14
A plane-wave DFT calculation with PBE-GGA was carried out for an optimized crystal structure of Na3Ac2DyO6.

Output
ρ: 6.45 Mg/m³

a b c (Å): 6.354 11.149 6.019
angles (deg): 90.00 109.36 90.00
Space group C2/m (No. 12)
One atom of each set of equivalent atoms:
Na: 0.000 0.000 0.000
Na: 0.000 0.355 0.000
Ac: 0.000 0.168 0.500
Dy: 0.000 0.500 0.500
O: 0.222 0.346 0.716
O: 0.245 0.500 0.285



# 15
A plane-wave DFT calculation with PBE-GGA was carried out for an optimized crystal structure of Na2AcDyO4.

Output
ρ: 6.45 Mg/m³

a b c (Å): 6.048 3.603 6.321
angles (deg): 90.00 111.01 90.00
Space group P2/m (No. 10)
One atom of each set of equivalent atoms:
Na: 0.000 0.000 0.000
Na: 0.000 0.500 0.500
Ac: 0.500 0.000 0.500
Dy: 0.500 0.500 0.000
O: 0.284 0.500 0.236
O: 0.287 0.000 0.776



# 16
A plane-wave DFT calculation with PBE-GGA was carried out for an optimized crystal structure of NaAc2DyS4.

Output
ρ: 6.29 Mg/m³

a b c (Å): 7.136 4.160 7.242
angles (deg): 90.00 109.48 90.00
Space group P2/m (No. 10)
One atom of each set of equivalent atoms:
Na: 0.000 0.000 0.000
Ac: 0.500 0.000 0.500
Ac: 0.500 0.500 0.000
Dy: 0.000 0.500 0.500
S: 0.225 0.000 0.737
S: 0.232 0.500 0.252



# 17
A plane-wave DFT calculation with PBE-GGA was carried out for an optimized crystal structure of Na3Ac2DyS6.

Output
ρ: 4.62 Mg/m³

a b c (Å): 18.292 4.233 8.302
angles (deg): 90.00 101.28 90.00
Space group C2/m (No. 12)
One atom of each set of equivalent atoms:
Na: 0.000 0.000 0.000
Na: 0.159 0.500 0.327
Ac: 0.165 0.500 0.823
Dy: 0.000 0.000 0.500
S: 0.001 0.500 0.725
S: 0.155 0.000 0.571
S: 0.168 0.000 0.077



# 18
A plane-wave DFT calculation with PBE-GGA was carried out for an optimized crystal structure of NaAc3Dy3Se8.

Output
ρ: 6.97 Mg/m³

a b c (Å): 8.4251 8.4251 21.1926
angles (deg): 90.00 90.00 120.00
Space group R-3m (No. 166, hexagonal axes)
One atom of each set of equivalent atoms:
Na: 0.0000 0.0000 0.0000
Ac: 0.0000 0.5000 0.5000
Dy: 0.0000 0.5000 0.0000
Se: 0.0000 0.0000 0.2592
Se: 0.0120 0.5060 0.2559



# 19
A plane-wave DFT calculation with PBE-GGA was carried out for an optimized crystal structure of NaAcDySe3.

Output
ρ: 6.59 Mg/m³

a b c (Å): 8.459 4.276 9.441
angles (deg): 90.00 106.59 90.00
Space group P2_1/m (No. 11)
One atom of each set of equivalent atoms:
Na: 0.099 0.250 0.087
Ac: 0.210 0.250 0.734
Dy: 0.330 0.750 0.350
Se: 0.097 0.250 0.378
Se: 0.259 0.750 0.005
Se: 0.449 0.750 0.667



# 20
A plane-wave DFT calculation with PBE-GGA was carried out for an optimized crystal structure of Na3AcDy2Se6.

Output
ρ: 5.46 Mg/m³

a b c (Å): 7.400 12.827 7.446
angles (deg): 90.00 109.48 90.00
Space group C2/m (No. 12)
One atom of each set of equivalent atoms:
Na: 0.000 0.000 0.000
Na: 0.000 0.335 0.000
Ac: 0.000 0.500 0.500
Dy: 0.000 0.167 0.500
Se: 0.226 0.000 0.735
Se: 0.246 0.176 0.267



no.,formation energy (no corrections) (eV per atom)
1,-1.018
2,-1.529
3,-1.340
4,-0.895
5,-1.061
6,-1.328
7,-1.227
8,-1.317
9,-1.336
10,-1.348
11,-1.023
12,-1.035
13,-1.195
14,-2.603
15,-2.621
16,-1.878
17,-1.808
18,-1.807
19,-1.576
20,-1.702